CoPCCl2 (PBE-GGA, optimized geometry); crystal system = tetragonal; symmetry = P4/mmm; E_tot = -3.605 eV per atom; size of the total moment = 0.4574 μB/atom; excess energy over the best structure of this formula in the dataset = 0 meV per atom; E_form (uncorrected) = 1.482 eV/atom
1.0
4.455 0.000 0.000
0.000 4.455 0.000
0.000 0.000 3.957
Co P C Cl
1 1 1 2
Direct
0.000 0.000 0.000
0.500 0.500 0.000
0.500 0.500 0.500
0.000 0.500 0.500
0.500 0.000 0.500